Computed, not measured: Hg2PtSe after structural relaxation at the PBE-GGA level of DFT.

It has space group I4/mmm (No. 139), with a = 4.2821 Å, b = 4.2821 Å, c = 8.7025 Å, α = 90.00°, β = 90.00° and γ = 90.00°. Symmetry generates all atoms from Hg at (0.0000, 0.5000, 0.2500), Pt at (0.0000, 0.0000, 0.0000) and Se at (0.0000, 0.0000, 0.5000).

Its formation energy from raw total energies is 288 meV per atom.

Computed, not measured: NaCaLaSeO6 after structural relaxation at the PBE-GGA level of DFT.

It has space group F-43m (No. 216), with a = 8.0083 Å, b = 8.0083 Å, c = 8.0083 Å, α = 90.00°, β = 90.00° and γ = 90.00°. Symmetry generates all atoms from Na at (0.0000, 0.0000, 0.0000), Ca at (0.2500, 0.2500, 0.2500), La at (0.0000, 0.0000, 0.5000), Se at (0.2500, 0.2500, 0.7500) and O at (0.0244, 0.2500, 0.7500).

Its formation energy from raw total energies is -1970 meV per atom.

Computed, not measured: NaCdSb after structural relaxation at the PBE-GGA level of DFT.

It has space group P-1 (No. 2), with a = 4.9336 Å, b = 4.9337 Å, c = 8.9127 Å, α = 105.83°, β = 90.09° and γ = 120.00°. Symmetry generates all atoms from Na at (0.1276, 0.2574, 0.3813), Cd at (0.3770, 0.7575, 0.1289) and Sb at (0.2563, 0.5092, 0.7709).

Its formation energy from raw total energies is -286 meV per atom.

Computed, not measured: NdLuZr2 after structural relaxation at the PBE-GGA level of DFT.

It has space group P4/mmm (No. 123), with a = 4.7329 Å, b = 4.7329 Å, c = 4.7814 Å, α = 90.00°, β = 90.00° and γ = 90.00°. Symmetry generates all atoms from Nd at (0.0000, 0.0000, 0.0000), Lu at (0.5000, 0.5000, 0.0000) and Zr at (0.0000, 0.5000, 0.5000).

The calculated formation energy comes out at 0.1404 eV/atom.

Computed, not measured: Be2TcHg after structural relaxation at the PBE-GGA level of DFT.

It has space group Cm (No. 8), with a = 9.0868 Å, b = 2.7427 Å, c = 4.3792 Å, α = 90.00°, β = 106.95° and γ = 90.00°. Symmetry generates all atoms from Be at (0.0000, 0.0000, 0.0000), Be at (0.2126, 0.5000, 0.3255), Tc at (0.4641, 0.0000, 0.4569) and Hg at (0.2442, 0.0000, 0.8406).

The calculated formation energy comes out at 0.3127 eV/atom.

Computed, not measured: Sm2TmHf after structural relaxation at the PBE-GGA level of DFT.

It has space group R3m (No. 160, hexagonal axes), with a = 3.4593 Å, b = 3.4593 Å, c = 33.8132 Å, α = 90.00°, β = 90.00° and γ = 120.00°. Symmetry generates all atoms from Sm at (0.0000, 0.0000, 0.0000), Sm at (0.0000, 0.0000, 0.1758), Tm at (0.0000, 0.0000, 0.4207) and Hf at (0.0000, 0.0000, 0.5881).

The calculated formation energy comes out at 0.1480 eV/atom.

Computed, not measured: ScTl2ZnRe after structural relaxation at the PBE-GGA level of DFT.

It has space group P4/mmm (No. 123), with a = 5.3877 Å, b = 5.3877 Å, c = 4.9194 Å, α = 90.00°, β = 90.00° and γ = 90.00°. Symmetry generates all atoms from Sc at (0.0000, 0.0000, 0.0000), Tl at (0.0000, 0.5000, 0.5000), Zn at (0.5000, 0.5000, 0.0000) and Re at (0.0000, 0.0000, 0.5000).

The calculated formation energy comes out at 0.5826 eV/atom.

Computed, not measured: ScHF2 after structural relaxation at the PBE-GGA level of DFT.

It has space group R-3m (No. 166, hexagonal axes), with a = 3.0266 Å, b = 3.0266 Å, c = 17.3933 Å, α = 90.00°, β = 90.00° and γ = 120.00°. Symmetry generates all atoms from Sc at (0.0000, 0.0000, 0.0000), H at (0.0000, 0.0000, 0.5000) and F at (0.0000, 0.0000, 0.4338).

Across the entries above, uncorrected energy takes the values -2.244; -6.118; -2.404; -6.456; -4.217; -5.818; -4.375; -5.175 eV/atom, respectively.